{"formula": "K2YTl", "functional": "GGA-PBE", "state": "relaxed", "lattice": [[3.825, 0.000, 0.000], [0.000, 4.610, 0.000], [-0.108, 0.000, 10.414]], "species": ["K", "K", "Y", "Tl"], "fractional_positions": [[0.000, 0.000, 0.000], [0.486, 0.500, 0.642], [0.982, 0.000, 0.352], [0.480, 0.500, 0.259]], "delta_e_f_ev_per_atom": 0.041, "total_energy_ev_per_cell": -10.861, "sg": "Pm, No. 6"}